Compound: LuPaTlIn
Source: Alexandria
Functional: PBE
Structure: optimized geometry

Geometry as CIF:
```
data_LuPaTlIn
_chemical_formula_sum 'Lu4 Pa4 Tl4 In4'
_cell_length_a 7.509
_cell_length_b 7.509
_cell_length_c 7.509
_cell_angle_alpha 90.00
_cell_angle_beta 90.00
_cell_angle_gamma 90.00
_space_group_name_H-M_alt 'F -4 3 m'
_space_group_IT_number 216
_space_group_name_Hall 'F -4 2 3'
loop_
_atom_site_label
_atom_site_type_symbol
_atom_site_fract_x
_atom_site_fract_y
_atom_site_fract_z
_atom_site_occupancy
Lu1 Lu 0.000 0.000 0.000 1
Pa1 Pa 0.000 0.000 0.500 1
Tl1 Tl 0.250 0.250 0.750 1
In1 In 0.250 0.250 0.250 1
```

- total moment (μB per formula unit) = 1.24
- calculated density (Mg/m³) = 11.4
- electronic total energy (eV/atom) = -4.760
- density of states at the Fermi level (states/eV/cell) = 34.91